1.
This record from Alexandria via LeMat-Bulk describes a relaxed structure of CaZrP2. The functional is PBE.

Cell lengths 4.9651, 4.9651, 4.9651 Å; angles 131.29, 113.08, 87.02 degrees
Atoms (fractional coordinates):
Ca: 0.0000 0.0000 0.0000
Zr: 0.5000 0.5000 0.0000
P: 0.2605 0.7605 0.5000
P: 0.7395 0.2395 0.5000

Values from the calculation:
SG: Immm, No. 71
Energy, hartree per atom: -0.22453
Formation energy, eV/atom: -0.77
DOS at the Fermi energy, states/eV per cell: 1.3

***

2.
This record from Alexandria via LeMat-Bulk describes a relaxed structure of Ca2ZrP. The functional is PBE.

Cell lengths 6.0836, 6.0836, 6.0836 Å; angles 139.85, 139.85, 58.08 degrees
Atoms (fractional coordinates):
Ca: 0.2500 0.7500 0.5000
Ca: 0.7500 0.2500 0.5000
Zr: 0.0000 0.0000 0.0000
P: 0.5000 0.5000 0.0000

Values from the calculation:
SG: I4/mmm, No. 139
Energy, hartree per atom: -0.16766
Formation energy, eV/atom: -0.07
DOS at the Fermi energy, states/eV per cell: 3.2

***

3.
This record from Alexandria via LeMat-Bulk describes a relaxed structure of CaZrP2. The functional is PBE.

Cell lengths 3.4040, 3.4698, 6.8422 Å; angles 90.00, 100.72, 90.00 degrees
Atoms (fractional coordinates):
Ca: 0.0000 0.0000 0.0000
Zr: 0.0000 0.0000 0.5000
P: 0.4974 0.5000 0.2834
P: 0.5026 0.5000 0.7166

Values from the calculation:
SG: P2/m, No. 10
Energy, hartree per atom: -0.22917
Formation energy, eV/atom: -0.89
DOS at the Fermi energy, states/eV per cell: 1.6

***

4.
This record from Alexandria via LeMat-Bulk describes a relaxed structure of CaZr4P. The functional is PBE.

Cell lengths 5.9011, 5.9011, 5.9011 Å; angles 60.00, 60.00, 60.00 degrees
Atoms (fractional coordinates):
Ca: 0.0000 0.0000 0.0000
Zr: 0.3720 0.3720 0.3720
Zr: 0.3720 0.3720 0.8839
Zr: 0.3720 0.8839 0.3720
Zr: 0.8839 0.3720 0.3720
P: 0.7500 0.7500 0.7500

Values from the calculation:
SG: F-43m, No. 216
Energy, hartree per atom: -0.23743
Formation energy, eV/atom: 0.47
DOS at the Fermi energy, states/eV per cell: 9.4

***

5.
This record from Alexandria via LeMat-Bulk describes a relaxed structure of CaZrP2. The functional is PBE.

Cell lengths 6.4897, 6.4897, 6.4897 Å; angles 114.99, 114.99, 98.91 degrees
Atoms (fractional coordinates):
Ca: 0.0000 0.0000 0.0000
Ca: 0.7500 0.2500 0.5000
Zr: 0.2500 0.7500 0.5000
Zr: 0.5000 0.5000 0.0000
P: 0.1603 0.6250 0.0353
P: 0.3750 0.4103 0.5353
P: 0.5897 0.1250 0.9647
P: 0.8750 0.8397 0.4647

Values from the calculation:
SG: I-42d, No. 122
Energy, hartree per atom: -0.22804
Formation energy, eV/atom: -0.86
DOS at the Fermi energy, states/eV per cell: 0.0

***

6.
This record from Alexandria via LeMat-Bulk describes a relaxed structure of Ca3ZrP. The functional is PBE.

Cell lengths 5.5532, 5.5532, 5.5532 Å; angles 90.00, 90.00, 90.00 degrees
Atoms (fractional coordinates):
Ca: 0.0000 0.0000 0.5000
Ca: 0.0000 0.5000 0.0000
Ca: 0.5000 0.0000 0.0000
Zr: 0.0000 0.0000 0.0000
P: 0.5000 0.5000 0.5000

Values from the calculation:
SG: Pm-3m, No. 221
Energy, hartree per atom: -0.10599
Formation energy, eV/atom: 1.11
DOS at the Fermi energy, states/eV per cell: 9.5